## Tm8TcRu2 (GGA-PBE)

Data for a geometry-optimized Tm8TcRu2 structure.

As for the energy of formation: -0.25 eV/atom. The calculation puts the density of states at the Fermi level at 9.9 states/eV/f.u. The total moment is 0.00 μB/atom. The value obtained for the volume is 24.07 A^3/atom. The value obtained for the energy above the most stable polymorph in this dataset is 0 meV per atom.

The structure belongs to space group C2/m (No. 12); the cell edges are 17.0968, 4.7872 and 6.8139 Å and the angles 90.00°, 108.29° and 90.00°. Symmetry generates all atoms from Tm at (0.0298, 0.0000, 0.2949), Tm at (0.0968, 0.5000, 0.9558), Tm at (0.1681, 0.5000, 0.4622), Tm at (0.2011, 0.0000, 0.8107), Tc at (0.0000, 0.5000, 0.5000) and Ru at (0.1839, 0.0000, 0.1951).